Compound: AcSn2Pt2
Source: Alexandria via LeMat-Bulk
Functional: PBE
Structure: optimized geometry

Computed properties:
DOS(E_F) (states/eV/f.u.): 2.7
Calculated formation energy (eV per atom): -0.9087
Crystal system: tetragonal

Cell and atoms, written as CIF:
```
data_AcSn2Pt2
_chemical_formula_sum 'Ac2 Sn4 Pt4'
_symmetry_space_group_name_H-M 'P 4/n m m'
_symmetry_Int_Tables_number 129
_cell_length_a 4.737
_cell_length_b 4.737
_cell_length_c 10.668
_cell_angle_alpha 90.00
_cell_angle_beta 90.00
_cell_angle_gamma 90.00
loop_
_symmetry_equiv_pos_as_xyz
'x,y,z'
'-x,-y,-z'
'-y+1/2,x,z'
'y+1/2,-x,-z'
'-x+1/2,-y+1/2,z'
'x+1/2,y+1/2,-z'
'y,-x+1/2,z'
'-y,x+1/2,-z'
'x+1/2,-y,-z'
'-x+1/2,y,z'
'-y,-x,-z'
'y,x,z'
'-x,y+1/2,-z'
'x,-y+1/2,z'
'y+1/2,x+1/2,-z'
'-y+1/2,-x+1/2,z'
loop_
_atom_site_label
_atom_site_fract_x
_atom_site_fract_y
_atom_site_fract_z
Ac1 0.250 0.250 0.241
Sn1 0.250 0.250 0.876
Sn2 0.250 0.750 0.500
Pt1 0.250 0.250 0.627
Pt2 0.250 0.750 0.000
```

***

Compound: OsSe2Cl6
Source: Alexandria via LeMat-Bulk
Functional: PBE
Structure: optimized geometry

Computed properties:
Energy relative to the elements, uncorrected (eV/atom): -0.2776
DOS(E_F) (states/eV/f.u.): 1.3
Crystal system: monoclinic

Cell and atoms, written as CIF:
```
data_OsSe2Cl6
_chemical_formula_sum 'Os4 Se8 Cl24'
_symmetry_space_group_name_H-M 'C 1 2/c 1'
_symmetry_Int_Tables_number 15
_symmetry_space_group_name_Hall '-C 2yc'
_cell_length_a 16.485
_cell_length_b 8.032
_cell_length_c 11.659
_cell_angle_alpha 90.00
_cell_angle_beta 119.84
_cell_angle_gamma 90.00
loop_
_atom_site_label
_atom_site_fract_x
_atom_site_fract_y
_atom_site_fract_z
Os1 0.000 0.019 0.250
Se1 0.004 0.247 0.858
Cl1 0.051 0.200 0.425
Cl2 0.146 0.345 0.989
Cl3 0.152 0.020 0.280
```

***

Compound: PrMg6Cu6
Source: Alexandria via LeMat-Bulk
Functional: PBE
Structure: optimized geometry

Computed properties:
DOS(E_F) (states/eV/f.u.): 7.2
Calculated formation energy (eV per atom): -0.1155
Crystal system: orthorhombic

Cell and atoms, written as CIF:
```
data_PrMg6Cu6
_chemical_formula_sum 'Pr2 Mg12 Cu12'
_symmetry_space_group_name_H-M 'I m m m'
_symmetry_Int_Tables_number 71
_symmetry_space_group_name_Hall '-I 2 2'
_cell_length_a 5.255
_cell_length_b 9.228
_cell_length_c 9.288
_cell_angle_alpha 90.00
_cell_angle_beta 90.00
_cell_angle_gamma 90.00
loop_
_atom_site_label
_atom_site_fract_x
_atom_site_fract_y
_atom_site_fract_z
Pr1 0.000 0.000 0.000
Mg1 0.000 0.000 0.347
Mg2 0.000 0.339 0.000
Mg3 0.000 0.500 0.307
Cu1 0.000 0.270 0.500
Cu2 0.250 0.250 0.250
```

***

Compound: HfZrCoPt
Source: Alexandria via LeMat-Bulk
Functional: PBE
Structure: optimized geometry

Computed properties:
DOS(E_F) (states/eV/f.u.): 2.5
Calculated formation energy (eV per atom): -0.6214
Crystal system: cubic

Cell and atoms, written as CIF:
```
data_HfZrCoPt
_chemical_formula_sum 'Hf4 Zr4 Co4 Pt4'
_symmetry_space_group_name_H-M 'F -4 3 m'
_symmetry_Int_Tables_number 216
_symmetry_space_group_name_Hall 'F -4 2 3'
_cell_length_a 6.529
_cell_length_b 6.529
_cell_length_c 6.529
_cell_angle_alpha 90.00
_cell_angle_beta 90.00
_cell_angle_gamma 90.00
loop_
_atom_site_label
_atom_site_fract_x
_atom_site_fract_y
_atom_site_fract_z
Hf1 0.000 0.000 0.000
Zr1 0.000 0.000 0.500
Co1 0.250 0.250 0.750
Pt1 0.250 0.250 0.250
```

***

Compound: CrRe2B
Source: Alexandria via LeMat-Bulk
Functional: PBE
Structure: optimized geometry

Computed properties:
DOS(E_F) (states/eV/f.u.): 3.9
Calculated formation energy (eV per atom): 0.2955
Crystal system: tetragonal

Cell and atoms, written as CIF:
```
data_CrRe2B
_chemical_formula_sum 'Cr4 Re8 B4'
_symmetry_space_group_name_H-M 'I -4 2 d'
_symmetry_Int_Tables_number 122
_symmetry_space_group_name_Hall 'I -4 2bw'
_cell_length_a 7.037
_cell_length_b 7.037
_cell_length_c 4.261
_cell_angle_alpha 90.00
_cell_angle_beta 90.00
_cell_angle_gamma 90.00
loop_
_atom_site_label
_atom_site_fract_x
_atom_site_fract_y
_atom_site_fract_z
Cr1 0.000 0.000 0.000
Re1 0.149 0.250 0.625
B1 0.000 0.000 0.500
```

***

Compound: Zn2CuTcSn
Source: Alexandria via LeMat-Bulk
Functional: PBE
Structure: optimized geometry

Computed properties:
DOS(E_F) (states/eV/f.u.): 3.3
Calculated formation energy (eV per atom): 1.3711
Crystal system: tetragonal

Cell and atoms, written as CIF:
```
data_Zn2CuTcSn
_chemical_formula_sum 'Zn2 Cu1 Tc1 Sn1'
_symmetry_space_group_name_H-M 'P 4/m m m'
_symmetry_Int_Tables_number 123
_symmetry_space_group_name_Hall '-P 4 2'
_cell_length_a 4.949
_cell_length_b 4.949
_cell_length_c 5.235
_cell_angle_alpha 90.00
_cell_angle_beta 90.00
_cell_angle_gamma 90.00
loop_
_atom_site_label
_atom_site_fract_x
_atom_site_fract_y
_atom_site_fract_z
Zn1 0.000 0.500 0.000
Cu1 0.000 0.000 0.500
Tc1 0.500 0.500 0.500
Sn1 0.500 0.500 0.000
```

***

Compound: Rb2TaO
Source: Alexandria via LeMat-Bulk
Functional: PBE
Structure: optimized geometry

Computed properties:
Energy relative to the elements, uncorrected (eV/atom): -0.2636
DOS(E_F) (states/eV/f.u.): 2.9
Crystal system: tetragonal

Cell and atoms, written as CIF:
```
data_Rb2TaO
_chemical_formula_sum 'Rb8 Ta4 O4'
_symmetry_space_group_name_H-M 'I -4 2 d'
_symmetry_Int_Tables_number 122
_symmetry_space_group_name_Hall 'I -4 2bw'
_cell_length_a 13.201
_cell_length_b 13.201
_cell_length_c 3.944
_cell_angle_alpha 90.00
_cell_angle_beta 90.00
_cell_angle_gamma 90.00
loop_
_atom_site_label
_atom_site_fract_x
_atom_site_fract_y
_atom_site_fract_z
Rb1 0.066 0.250 0.125
Ta1 0.000 0.000 0.500
O1 0.000 0.000 0.000
```

***

Compound: TbSm3Ho
Source: Alexandria via LeMat-Bulk
Functional: PBE
Structure: optimized geometry

Computed properties:
Excess energy over the best structure of this formula in the dataset (eV/atom): 0.2899
DOS(E_F) (states/eV/f.u.): 8.9
Calculated formation energy (eV per atom): 0.3086
Crystal system: orthorhombic

Cell and atoms, written as CIF:
```
data_TbSm3Ho
_chemical_formula_sum 'Tb4 Sm12 Ho4'
_symmetry_space_group_name_H-M 'C m c m'
_symmetry_Int_Tables_number 63
_symmetry_space_group_name_Hall '-C 2c 2'
_cell_length_a 3.621
_cell_length_b 16.767
_cell_length_c 11.749
_cell_angle_alpha 90.00
_cell_angle_beta 90.00
_cell_angle_gamma 90.00
loop_
_atom_site_label
_atom_site_fract_x
_atom_site_fract_y
_atom_site_fract_z
Tb1 0.000 0.149 0.250
Sm1 0.000 0.188 0.750
Sm2 0.000 0.351 0.501
Ho1 0.000 0.484 0.250
```